# 1
Here is an optimized crystal structure of ZnFeAu2 from Alexandria. Energies are from PBE-GGA.

abc: 2.819 5.116 5.590
angles: 52.64 90.00 90.00
Last column: magnetic moment on the atom in μB.
Fractional coordinates of all 4 atoms:
Fe (0.500, 0.500, 0.500)  2.87
Au (0.500, 0.500, 0.000)  0.01
Au (0.000, 0.000, 0.000)  0.03
Zn (0.000, 0.000, 0.500)  -0.03

- Energy relative to the elements: 0.098 eV per atom
- Symmetry: No. 10

# 2
Here is an optimized crystal structure of SrCaLa2 from Alexandria. Energies are from PBE-GGA.

abc: 13.130 13.130 13.130
angles: 16.96 16.96 16.96
Fractional coordinates of all 4 atoms:
Sr (0.501, 0.501, 0.501)
La (0.256, 0.256, 0.256)
Ca (0.746, 0.746, 0.746)
La (0.996, 0.996, 0.996)

- Energy relative to the elements: 0.053 eV per atom
- Symmetry: No. 160
- Energy above the most stable polymorph in this dataset: 0.009 eV per atom

# 3
Here is an optimized crystal structure of Ba3CuAs3 from Alexandria. Energies are from PBE-GGA.

abc: 6.831 10.513 13.466
angles: 90.00 90.00 108.96
Fractional coordinates of all 28 atoms:
As (0.306, 0.000, 0.401)
Ba (0.372, 0.345, 0.370)
Ba (0.974, 0.345, 0.630)
Cu (0.081, 0.161, 0.000)
Cu (0.919, 0.839, 0.000)
Ba (0.026, 0.655, 0.370)
As (0.967, 0.314, 0.887)
Ba (0.872, 0.345, 0.130)
As (0.806, 0.000, 0.099)
Ba (0.128, 0.655, 0.870)
Ba (0.628, 0.655, 0.630)
As (0.694, 0.000, 0.599)
Ba (0.316, 0.000, 0.147)
As (0.847, 0.314, 0.387)
As (0.347, 0.314, 0.113)
As (0.033, 0.686, 0.113)
Cu (0.419, 0.839, 0.500)
As (0.194, 0.000, 0.901)
As (0.153, 0.686, 0.613)
As (0.653, 0.686, 0.887)
Ba (0.684, 0.000, 0.853)
Ba (0.526, 0.655, 0.130)
Ba (0.816, 0.000, 0.353)
As (0.533, 0.686, 0.387)
Cu (0.581, 0.161, 0.500)
As (0.467, 0.314, 0.613)
Ba (0.184, 0.000, 0.647)
Ba (0.474, 0.345, 0.870)

- Energy relative to the elements: -0.821 eV per atom
- Symmetry: No. 64

# 4
Here is an optimized crystal structure of LiZr2W from Alexandria. Energies are from PBE-GGA.

abc: 3.405 3.405 6.796
angles: 90.00 90.00 90.00
Fractional coordinates of all 4 atoms:
Zr (0.000, 0.000, 0.521)
Zr (0.000, 0.000, 0.979)
Li (0.500, 0.500, 0.250)
W (0.500, 0.500, 0.750)

- Energy relative to the elements: 0.171 eV per atom
- Symmetry: No. 123

# 5
Here is an optimized crystal structure of SmOsW from Alexandria. Energies are from PBE-GGA.

abc: 5.158 5.158 5.634
angles: 105.88 105.88 113.72
Fractional coordinates of all 6 atoms:
W (0.841, 0.841, 0.681)
Os (0.250, 0.750, 0.500)
Os (0.750, 0.250, 0.500)
Sm (0.328, 0.672, 0.000)
Sm (0.672, 0.328, 0.000)
W (0.159, 0.159, 0.319)

- Energy relative to the elements: 0.274 eV per atom
- Symmetry: No. 69

# 6
Here is an optimized crystal structure of Sr2CdOs from Alexandria. Energies are from PBE-GGA.

abc: 3.650 3.644 8.412
angles: 90.00 90.00 90.00
Fractional coordinates of all 4 atoms:
Cd (0.500, 0.500, 0.250)
Sr (0.000, 0.000, 0.959)
Sr (0.000, 0.000, 0.541)
Os (0.500, 0.500, 0.750)

- Energy relative to the elements: 0.399 eV per atom
- Symmetry: No. 123

# 7
Here is an optimized crystal structure of SrCa2Se from Alexandria. Energies are from PBE-GGA.

abc: 3.755 3.755 9.960
angles: 90.00 90.00 90.00
Fractional coordinates of all 4 atoms:
Ca (0.000, 0.000, 0.424)
Sr (0.500, 0.500, 0.750)
Ca (0.000, 0.000, 0.076)
Se (0.500, 0.500, 0.250)

- Formation energy (no corrections): -817 meV per atom
- Symmetry: No. 123

# 8
Here is an optimized crystal structure of Y2ZnRu2 from Alexandria. Energies are from PBE-GGA.

abc: 5.475 5.534 8.004
angles: 103.26 90.00 119.65
Fractional coordinates of all 10 atoms:
Y (0.796, 0.296, 0.648)
Zn (0.858, 0.000, 0.250)
Ru (0.992, 0.274, 0.007)
Y (0.501, 0.704, 0.852)
Y (0.204, 0.704, 0.352)
Ru (0.719, 0.726, 0.493)
Ru (0.281, 0.274, 0.507)
Ru (0.008, 0.726, 0.993)
Y (0.499, 0.296, 0.148)
Zn (0.142, 0.000, 0.750)

- Energy relative to the elements: -0.317 eV per atom
- Symmetry: No. 15

# 9
Here is an optimized crystal structure of ZrRh3S from Alexandria. Energies are from PBE-GGA.

abc: 4.809 4.809 4.809
angles: 90.00 90.00 90.00
Last column: magnetic moment on the atom in μB.
Fractional coordinates of all 5 atoms:
Rh (0.000, 0.500, 0.000)  0.24
Zr (0.000, 0.000, 0.000)  -0.04
Rh (0.000, 0.000, 0.500)  0.20
Rh (0.500, 0.000, 0.000)  0.11
S (0.500, 0.500, 0.500)  0.11

- Formation energy (no corrections): 1205 meV per atom
- Symmetry: No. 221
- Energy above the most stable polymorph in this dataset: 1.382 eV per atom

# 10
Here is an optimized crystal structure of LiNd2Dy from Alexandria. Energies are from PBE-GGA.

abc: 3.526 3.526 12.577
angles: 81.94 81.94 60.00
Fractional coordinates of all 4 atoms:
Nd (0.089, 0.089, 0.733)
Nd (0.911, 0.911, 0.267)
Li (0.000, 0.000, 0.000)
Dy (0.500, 0.500, 0.500)

- Energy relative to the elements: 0.159 eV per atom
- Symmetry: No. 166
- Energy above the most stable polymorph in this dataset: 0.096 eV per atom

# 11
Here is an optimized crystal structure of TbHo2Er from Alexandria. Energies are from PBE-GGA.

abc: 4.979 4.980 4.980
angles: 90.00 90.00 90.00
Fractional coordinates of all 4 atoms:
Tb (0.500, 0.500, 0.500)
Ho (0.000, 0.000, 0.500)
Ho (0.000, 0.500, 0.000)
Er (0.500, 0.000, 0.000)

- Energy relative to the elements: 0.022 eV per atom
- Symmetry: No. 123
- Energy above the most stable polymorph in this dataset: 0.018 eV per atom

# 12
Here is an optimized crystal structure of Cr2SiAu from Alexandria. Energies are from PBE-GGA.

abc: 2.996 2.996 6.234
angles: 90.00 90.00 90.00
Last column: magnetic moment on the atom in μB.
Fractional coordinates of all 4 atoms:
Si (0.000, 0.000, 0.460)  0.00
Cr (0.000, 0.000, 0.043)  2.31
Cr (0.500, 0.500, 0.252)  -1.12
Au (0.500, 0.500, 0.744)  0.03

- Formation energy (no corrections): 113 meV per atom
- Symmetry: No. 99

In order of appearance, total magnetization = 2.9 0.0 0.0 0.0 0.0 0.0 0.0 0.0 0.7 0.0 0.0 1.3 μB per formula unit.